[1]
Below is Hf3InS after structural relaxation, with properties calculated at the PBE level.

Lattice parameters (Å, degrees): 4.789 3.287 6.730 90.00 93.29 90.00
Fractional coordinates of all 5 atoms:
Hf 0.000 0.000 0.000
Hf 0.470 0.500 0.280
Hf 0.530 0.500 0.720
In 0.000 0.000 0.500
S 0.500 0.000 0.000

Computed properties:
- crystal system = monoclinic
- space-group type = P2/m
- size of the total moment (μB per cell) = 0.38
- electronic total energy (eV/atom) = -7.760
- formation energy from raw total energies (meV per atom) = -414
- Fermi-level density of states (states/eV/cell) = 4.7

---

[2]
Below is CsUCuS4 after structural relaxation, with properties calculated at the PBE level.

Lattice parameters (Å, degrees): 6.195 6.467 9.403 90.00 107.69 90.00
Fractional coordinates of all 14 atoms:
Cs 0.202 0.250 0.452
Cs 0.798 0.750 0.548
U 0.317 0.750 0.052
U 0.683 0.250 0.948
Cu 0.133 0.250 0.851
Cu 0.867 0.750 0.149
S 0.107 0.250 0.084
S 0.227 0.750 0.300
S 0.357 0.515 0.820
S 0.357 0.985 0.820
S 0.643 0.015 0.180
S 0.643 0.485 0.180
S 0.773 0.250 0.700
S 0.893 0.750 0.916

Computed properties:
- crystal system = monoclinic
- space-group type = P2_1/m
- size of the total moment (μB per cell) = 0.23
- electronic total energy (eV/atom) = -5.701
- formation energy from raw total energies (meV per atom) = -1022
- Fermi-level density of states (states/eV/cell) = 2.9

---

[3]
Below is Ac3Nd3Y4 after structural relaxation, with properties calculated at the PBE level.

Lattice parameters (Å, degrees): 3.780 9.985 9.985 89.40 90.00 90.00
Fractional coordinates of all 10 atoms:
Ac 0.000 0.000 0.000
Ac 0.500 0.327 0.825
Ac 0.500 0.825 0.327
Nd 0.000 0.153 0.502
Nd 0.000 0.502 0.153
Nd 0.000 0.648 0.648
Y 0.500 0.211 0.211
Y 0.500 0.448 0.448
Y 0.500 0.696 0.939
Y 0.500 0.939 0.696

Computed properties:
- crystal system = orthorhombic
- space-group type = Amm2
- calculated formation energy (eV/atom) = 0.0863
- size of the total moment (μB per cell) = 0.00
- electronic total energy (eV/atom) = -5.162
- Fermi-level density of states (states/eV/cell) = 12.1

---

[4]
Below is CsCd2Pb after structural relaxation, with properties calculated at the PBE level.

Lattice parameters (Å, degrees): 4.053 4.053 8.848 90.00 90.00 90.00
Fractional coordinates of all 4 atoms:
Cs 0.000 0.000 0.000
Cd 0.500 0.500 0.313
Cd 0.500 0.500 0.687
Pb 0.000 0.000 0.500

Computed properties:
- crystal system = tetragonal
- space-group type = P4/mmm
- calculated formation energy (eV/atom) = 0.0400
- size of the total moment (μB per cell) = 0.00
- electronic total energy (eV/atom) = -1.558
- Fermi-level density of states (states/eV/cell) = 3.5

---

[5]
Below is Sr2MnTcN4 after structural relaxation, with properties calculated at the PBE level.

Lattice parameters (Å, degrees): 5.697 6.923 6.078 90.00 90.00 90.00
Fractional coordinates of all 16 atoms:
Sr 0.250 0.002 0.245
Sr 0.250 0.498 0.245
Sr 0.750 0.502 0.755
Sr 0.750 0.998 0.755
Mn 0.250 0.750 0.689
Mn 0.750 0.250 0.311
Tc 0.250 0.250 0.694
Tc 0.750 0.750 0.306
N 0.007 0.750 0.502
N 0.250 0.509 0.824
N 0.250 0.991 0.824
N 0.493 0.750 0.502
N 0.507 0.250 0.498
N 0.750 0.009 0.176
N 0.750 0.491 0.176
N 0.993 0.250 0.498

Computed properties:
- crystal system = orthorhombic
- space-group type = Pmmn
- size of the total moment (μB per cell) = 0.00
- electronic total energy (eV/atom) = -7.570
- formation energy from raw total energies (meV per atom) = -545
- Fermi-level density of states (states/eV/cell) = 8.3

---

[6]
Below is LaNd3Hg2 after structural relaxation, with properties calculated at the PBE level.

Lattice parameters (Å, degrees): 8.734 8.734 9.166 114.53 114.53 36.87
Fractional coordinates of all 12 atoms:
La 0.130 0.130 0.188
La 0.870 0.870 0.812
Nd 0.062 0.062 0.721
Nd 0.306 0.306 0.991
Nd 0.379 0.379 0.465
Nd 0.621 0.621 0.535
Nd 0.694 0.694 0.009
Nd 0.938 0.938 0.279
Hg 0.226 0.226 0.598
Hg 0.488 0.488 0.832
Hg 0.512 0.512 0.168
Hg 0.774 0.774 0.402

Computed properties:
- crystal system = monoclinic
- space-group type = C2/m
- calculated formation energy (eV/atom) = -0.2645
- size of the total moment (μB per cell) = 0.00
- electronic total energy (eV/atom) = -3.570
- Fermi-level density of states (states/eV/cell) = 13.5

---

[7]
Below is La2Pm3Sm6Cd after structural relaxation, with properties calculated at the PBE level.

Lattice parameters (Å, degrees): 6.248 6.248 11.983 95.07 95.07 120.07
Fractional coordinates of all 12 atoms:
La 0.167 0.833 0.000
La 0.833 0.167 0.000
Pm 0.000 0.000 0.500
Pm 0.333 0.667 0.500
Pm 0.667 0.333 0.500
Sm 0.091 0.418 0.751
Sm 0.254 0.254 0.250
Sm 0.418 0.091 0.751
Sm 0.582 0.909 0.249
Sm 0.746 0.746 0.750
Sm 0.909 0.582 0.249
Cd 0.500 0.500 0.000

Computed properties:
- crystal system = monoclinic
- space-group type = C2/m
- calculated formation energy (eV/atom) = -0.0133
- size of the total moment (μB per cell) = 0.00
- electronic total energy (eV/atom) = -4.458
- Fermi-level density of states (states/eV/cell) = 18.2

---

[8]
Below is SOF2 after structural relaxation, with properties calculated at the PBE level.

Lattice parameters (Å, degrees): 7.614 7.614 7.614 154.11 154.11 36.94
Fractional coordinates of all 8 atoms:
S 0.000 0.000 0.000
S 0.750 0.250 0.500
O 0.250 0.750 0.500
O 0.500 0.500 0.000
F 0.092 0.625 0.967
F 0.375 0.342 0.467
F 0.658 0.125 0.033
F 0.875 0.908 0.533

Computed properties:
- crystal system = tetragonal
- space-group type = I-42d
- size of the total moment (μB per cell) = 1.65
- electronic total energy (eV/atom) = -2.845
- formation energy from raw total energies (meV per atom) = 362
- Fermi-level density of states (states/eV/cell) = 3.2

---

[9]
Below is Ca2TlIr after structural relaxation, with properties calculated at the PBE level.

Lattice parameters (Å, degrees): 7.555 7.555 7.555 97.25 97.25 138.39
Fractional coordinates of all 8 atoms:
Ca 0.375 0.226 0.351
Ca 0.774 0.125 0.149
Ca 0.875 0.024 0.649
Ca 0.976 0.625 0.851
Tl 0.250 0.750 0.500
Tl 0.500 0.500 0.000
Ir 0.000 0.000 0.000
Ir 0.750 0.250 0.500

Computed properties:
- crystal system = tetragonal
- space-group type = I-42d
- calculated formation energy (eV/atom) = -0.1177
- size of the total moment (μB per cell) = 0.00
- electronic total energy (eV/atom) = -3.925
- Fermi-level density of states (states/eV/cell) = 3.3

---

[10]
Below is KZrBe2 after structural relaxation, with properties calculated at the PBE level.

Lattice parameters (Å, degrees): 4.670 4.670 4.670 60.00 60.00 60.00
Fractional coordinates of all 4 atoms:
K 0.000 0.000 0.000
Zr 0.750 0.750 0.750
Be 0.250 0.250 0.250
Be 0.500 0.500 0.500

Computed properties:
- crystal system = cubic
- space-group type = F-43m
- calculated formation energy (eV/atom) = 1.2189
- size of the total moment (μB per cell) = 0.89
- electronic total energy (eV/atom) = -3.056
- Fermi-level density of states (states/eV/cell) = 3.7

---

[11]
Below is SrZnSiAu3 after structural relaxation, with properties calculated at the PBE level.

Lattice parameters (Å, degrees): 7.025 7.025 6.406 90.00 90.00 121.47
Fractional coordinates of all 12 atoms:
Sr 0.222 0.778 0.750
Sr 0.778 0.222 0.250
Zn 0.487 0.513 0.750
Zn 0.513 0.487 0.250
Si 0.109 0.891 0.250
Si 0.891 0.109 0.750
Au 0.208 0.208 0.000
Au 0.208 0.208 0.500
Au 0.304 0.696 0.250
Au 0.696 0.304 0.750
Au 0.792 0.792 0.000
Au 0.792 0.792 0.500

Computed properties:
- crystal system = orthorhombic
- space-group type = Cmcm
- size of the total moment (μB per cell) = 0.00
- electronic total energy (eV/atom) = -3.392
- formation energy from raw total energies (meV per atom) = -357
- Fermi-level density of states (states/eV/cell) = 4.3

---

[12]
Below is InTe2Pd8 after structural relaxation, with properties calculated at the PBE level.

Lattice parameters (Å, degrees): 7.905 7.905 6.415 108.29 108.29 30.42
Fractional coordinates of all 11 atoms:
In 0.000 0.000 0.000
Te 0.304 0.304 0.340
Te 0.696 0.696 0.660
Pd 0.087 0.087 0.455
Pd 0.178 0.178 0.931
Pd 0.359 0.359 0.798
Pd 0.463 0.463 0.259
Pd 0.537 0.537 0.741
Pd 0.641 0.641 0.202
Pd 0.822 0.822 0.069
Pd 0.913 0.913 0.545

Computed properties:
- crystal system = monoclinic
- space-group type = C2/m
- size of the total moment (μB per cell) = 0.00
- electronic total energy (eV/atom) = -4.948
- formation energy from raw total energies (meV per atom) = -351
- Fermi-level density of states (states/eV/cell) = 5.3